The following is a PBE-GGA calculation of an optimized crystal structure of K2LiAu, from Alexandria via LeMat-Bulk.

a = 8.953 Å, b = 8.953 Å, c = 8.953 Å
α = 94.60°, β = 94.60°, γ = 147.09°
Sites, in units of the cell vectors:
K 0.375 0.032 0.157
K 0.782 0.625 0.657
K 0.875 0.218 0.843
K 0.968 0.125 0.343
Li 0.250 0.750 0.500
Li 0.500 0.500 0.000
Au 0.000 0.000 0.000
Au 0.750 0.250 0.500

Calculated values
ΔE to the lowest computed polymorph: 98 meV/atom